# Li4Cr3O8

A relaxed structure of Li4Cr3O8 (PBEsol, Alexandria).

The space group is R-3m (No. 166, hexagonal axes) and the conventional cell measures 5.6548, 5.6548 and 15.0384 Å, with angles of 90.00, 90.00 and 120.00 degrees. Symmetry generates all atoms from Li at (0.0000, 0.0000, 0.0000), Li at (0.0000, 0.0000, 0.1423), Li at (0.0000, 0.0000, 0.5000), Cr at (0.0000, 0.5000, 0.0000), O at (0.0000, 0.0000, 0.2654) and O at (0.0165, 0.5083, 0.2646).

For the uncorrected energy, the calculation gives -330.4 eV/cell. The magnetic moment comes out at 0.40 μB per atom. As for the uncorrected formation energy: -1.970 eV/atom.